(1)
Entry from Alexandria: an optimized crystal structure of Ga2RePd (PBE).

## Properties
Its formation enthalpy at 0 K is -0.1830 eV/atom. Its theoretical density is 12.3 Mg/m³. The calculation puts the volume at 14.64 Å³ per atom. The space group is P4/mmm (123).

Cell: 3.176 4.294 4.294 Å, 90.00 90.00 90.00°
Atoms (fractional coordinates):
Re  0.500  0.000  0.000
Ga  0.000  0.000  0.500
Ga  0.000  0.500  0.000
Pd  0.500  0.500  0.500

---

(2)
Entry from Alexandria: an optimized crystal structure of NiGe3Te (PBE).

## Properties
The value obtained for the formation energy without anion corrections is 1.4464 eV per atom. Its theoretical density is 4.3 Mg/m³. The calculation puts the volume at 31.55 Å³ per atom. The space group is Pm-3m (221).

Cell: 5.404 5.404 5.404 Å, 90.00 90.00 90.00°
Atoms (fractional coordinates):
Ni  0.500  0.500  0.500
Ge  0.000  0.500  0.000
Ge  0.000  0.000  0.500
Ge  0.500  0.000  0.000
Te  0.000  0.000  0.000

---

(3)
Entry from Alexandria: an optimized crystal structure of Y3TaFe (PBE).

## Properties
Its formation enthalpy at 0 K is 0.6901 eV/atom. Its theoretical density is 6.3 Mg/m³. The calculation puts the volume at 26.69 Å³ per atom. The space group is Pm-3m (221).

Cell: 5.110 5.110 5.110 Å, 90.00 90.00 90.00°
Site moments in Bohr magnetons follow the coordinates.
Atoms (fractional coordinates):
Y  0.000  0.500  0.000  0.01
Y  0.000  0.000  0.500  0.01
Y  0.500  0.000  0.000  0.05
Fe  0.000  0.000  0.000  0.46
Ta  0.500  0.500  0.500  1.52

---

Among the records above, which one has the highest theoretical density? Ga2RePd